# 1
Here is a relaxed structure of RePdW2Se from Alexandria via LeMat-Bulk. Energies are from PBE-GGA. Values from VASP.

Cell and atoms, written as Quantum ESPRESSO input:
```
&SYSTEM
  ibrav = 0, nat = 5, ntyp = 4
/
ATOMIC_SPECIES
Re 186.21 Re.upf
Se 78.96 Se.upf
W 183.84 W.upf
Pd 106.42 Pd.upf
ATOMIC_POSITIONS crystal
Re 0.5000 0.5000 0.5000
Se 0.0000 0.0000 0.0000
W 0.5000 0.0000 0.0000
W 0.0000 0.5000 0.0000
Pd 0.0000 0.0000 0.5000
CELL_PARAMETERS angstrom
-3.7785 1.0037 2.3959
-2.5805 -1.9362 -3.2584
0.2904 -3.9248 2.1022
```

Calculated values
* formation energy from raw total energies: 1718 meV per atom
* space group: P4/mmm, No. 123



# 2
Here is a relaxed structure of Re2SiPd from Alexandria via LeMat-Bulk. Energies are from PBE-GGA. Values from VASP.

Cell and atoms, written as Quantum ESPRESSO input:
```
&SYSTEM
  ibrav = 0, nat = 8, ntyp = 3
/
ATOMIC_SPECIES
Pd 106.42 Pd.upf
Re 186.21 Re.upf
Si 28.09 Si.upf
ATOMIC_POSITIONS crystal
Pd 0.7500 0.2500 0.5000
Pd 0.0000 0.0000 0.0000
Re 0.8750 0.8662 0.7500
Re 0.1338 0.6250 0.2500
Re 0.6162 0.1250 0.2500
Re 0.3750 0.3838 0.7500
Si 0.5000 0.5000 0.0000
Si 0.2500 0.7500 0.5000
CELL_PARAMETERS angstrom
-1.7264 -0.9998 5.3738
5.0165 -2.5280 1.1412
3.5882 2.7533 4.7222
```

Calculated values
* formation energy from raw total energies: 1510 meV per atom
* space group: I-42d, No. 122



| no. | raw total energy (eV per cell) |
| --- | --- |
| 1 | -38.44 |
| 2 | -58.95 |